# MnNiRuO6, optimized geometry, DFT PBE+U
data_MnNiRuO6
_chemical_formula_sum 'Mn2 Ni2 Ru2 O12'
_cell_length_a 4.9666
_cell_length_b 4.9666
_cell_length_c 8.6057
_cell_angle_alpha 90.00
_cell_angle_beta 90.00
_cell_angle_gamma 120.00
_symmetry_space_group_name_H-M 'P -3 1 c'
_symmetry_Int_Tables_number 163
_symmetry_space_group_name_Hall '-P 3 2c'
loop_
_atom_site_label
_atom_site_type_symbol
_atom_site_fract_x
_atom_site_fract_y
_atom_site_fract_z
Mn1 Mn 0.0000 0.0000 0.0000
Ni1 Ni 0.3333 0.6667 0.2500
Ru1 Ru 0.3333 0.6667 0.7500
O1 O 0.0127 0.3430 0.6243
# **VASP energy**: -114.62 eV/cell